[1]
CePrHg | PBE | optimized geometry

The structure in POSCAR format:
```
CePrHg
1.0
-2.767 -0.735 2.456
0.339 -3.687 -0.721
5.563 1.682 3.875
Ce Pr Hg
1 1 1
Direct
0.319 0.319 0.637
0.013 0.013 0.026
0.668 0.668 0.336
```

Properties
* space group: I4mm, No. 107
* spin magnetization: 1.3 μB/cell
* theoretical density: 8.7 g cm⁻³
* raw total energy: -3.8589 eV/atom
* energy of formation: -18.06 kJ/mol of atoms

---

[2]
CePrHg4 | PBE | optimized geometry

The structure in POSCAR format:
```
CePrHg4
1.0
-5.546 0.212 2.404
-4.382 -3.547 -2.189
-2.052 -4.646 3.283
Hg Pr Ce
4 1 1
Direct
0.625 0.625 0.125
0.625 0.125 0.625
0.625 0.625 0.625
0.125 0.625 0.625
0.250 0.250 0.250
0.000 0.000 0.000
```

Properties
* space group: F-43m, No. 216
* spin magnetization: 1.1 μB/cell
* theoretical density: 11.5 g cm⁻³
* raw total energy: -2.2246 eV/atom
* energy of formation: -22.95 kJ/mol of atoms

---

[3]
Ce2PrHg4 | PBE | optimized geometry

The structure in POSCAR format:
```
Ce2PrHg4
1.0
3.533 0.000 0.000
0.000 5.893 0.000
0.000 -2.947 9.461
Ce Hg Pr
2 4 1
Direct
0.500 0.930 0.860
0.500 0.070 0.140
0.500 0.350 0.700
0.500 0.650 0.300
0.000 0.213 0.427
0.000 0.787 0.573
0.000 0.500 0.000
```

Properties
* space group: Cmmm, No. 65
* spin magnetization: 1.6 μB/cell
* theoretical density: 10.3 g cm⁻³
* raw total energy: -2.6407 eV/atom
* energy of formation: -8.69 kJ/mol of atoms

---

[4]
Ce2PrHg7 | PBE | optimized geometry

The structure in POSCAR format:
```
Ce2PrHg7
1.0
5.164 0.000 0.000
-2.582 4.472 0.000
0.000 0.000 12.737
Hg Pr Ce
7 1 2
Direct
0.333 0.667 0.440
0.333 0.667 0.947
0.667 0.333 0.595
0.667 0.333 0.108
0.000 0.000 0.265
0.000 0.000 0.755
0.667 0.333 0.848
0.000 0.000 0.012
0.667 0.333 0.352
0.333 0.667 0.694
```

Properties
* space group: P3m1, No. 156
* spin magnetization: 2.2 μB/cell
* theoretical density: 10.3 g cm⁻³
* raw total energy: -2.0738 eV/atom
* energy of formation: -19.09 kJ/mol of atoms